Ce4ErPu3S8: relaxed, GGA-PBE.

Results
- total energy (eV per atom) = -8.45
- mass density (g cm⁻³) = 8.01
- crystal system = monoclinic

a = 7.9522 Å, b = 11.2545 Å, c = 7.9435 Å
α = 134.93°, β = 120.04°, γ = 90.00°
Site moments in Bohr magnetons follow the coordinates.
Fractional coordinates of all 16 atoms:
S 0.5101 0.2602 0.5152  -0.05
S 0.0051 0.2602 0.5152  -0.05
Pu 0.5000 0.5000 0.5000  5.26
S 0.5059 0.2589 0.0119  -0.08
Ce 0.5000 0.0000 0.5000  0.65
Pu 0.5000 0.5000 0.0000  5.26
S 0.9949 0.7398 0.9897  -0.05
Ce 0.5000 0.0000 0.0000  0.65
Pu 0.0000 0.5000 0.5000  5.26
S 0.4899 0.7398 0.4848  -0.05
S 0.9949 0.7398 0.4848  -0.05
Ce 0.0000 0.0000 0.0000  0.71
S 0.0051 0.2602 0.0103  -0.05
Ce 0.0000 0.0000 0.5000  0.65
S 0.4941 0.7411 0.9881  -0.08
Er 0.0000 0.5000 0.0000  0.04

---

Ce3ErPu2S6: relaxed, GGA-PBE.

Results
- total energy (eV per atom) = -8.26
- mass density (g cm⁻³) = 7.92
- crystal system = monoclinic

a = 6.8669 Å, b = 6.8669 Å, c = 6.9007 Å
α = 99.55°, β = 99.55°, γ = 120.02°
Site moments in Bohr magnetons follow the coordinates.
Fractional coordinates of all 12 atoms:
Pu 0.3337 0.6663 0.0000  5.25
S 0.4097 0.0797 0.2394  -0.05
Er 0.0000 0.0000 0.0000  0.02
S 0.5903 0.9203 0.7606  -0.05
S 0.9203 0.5903 0.7606  -0.05
Ce 0.5000 0.5000 0.5000  0.60
S 0.2494 0.2494 0.7587  -0.05
Pu 0.6663 0.3337 0.0000  5.25
S 0.7506 0.7506 0.2413  -0.05
Ce 0.1677 0.8323 0.5000  0.61
Ce 0.8323 0.1677 0.5000  0.61
S 0.0797 0.4097 0.2394  -0.05

---

Ce4Er3PuS8: relaxed, GGA-PBE.

Results
- total energy (eV per atom) = -7.29
- mass density (g cm⁻³) = 7.43
- crystal system = trigonal

a = 7.8715 Å, b = 7.9403 Å, c = 7.8718 Å
α = 119.71°, β = 120.00°, γ = 90.00°
Site moments in Bohr magnetons follow the coordinates.
Fractional coordinates of all 16 atoms:
Ce 0.0000 0.0000 0.0000  -0.61
Er 0.5000 0.5000 0.0000  0.02
Ce 0.0000 0.0000 0.5000  -0.61
S 0.2479 0.7377 0.4959  -0.02
S 0.7520 0.2623 0.0103  -0.02
Er 0.5000 0.5000 0.5000  0.02
Er 0.0000 0.5000 0.5000  0.02
S 0.2582 0.2623 0.0103  -0.02
Pu 0.0000 0.5000 0.0000  5.24
S 0.2551 0.2652 0.5101  0.01
Ce 0.5000 0.0000 0.0000  0.38
S 0.2480 0.7377 0.9897  -0.02
S 0.7418 0.7377 0.9897  -0.02
S 0.7449 0.7348 0.4899  0.01
S 0.7521 0.2623 0.5041  -0.02
Ce 0.5000 0.0000 0.5000  -0.61

---

CeEr2PuSb4: relaxed, GGA-PBE.

Results
- total energy (eV per atom) = -6.70
- mass density (g cm⁻³) = 8.26
- crystal system = monoclinic

a = 4.4148 Å, b = 7.6285 Å, c = 7.6356 Å
α = 70.45°, β = 90.00°, γ = 90.00°
Site moments in Bohr magnetons follow the coordinates.
Fractional coordinates of all 8 atoms:
Sb 0.5000 0.7553 0.2495  0.06
Sb 0.0000 0.7568 0.7469  0.04
Sb 0.5000 0.2447 0.7505  0.06
Er 0.5000 0.0000 0.5000  0.01
Pu 0.0000 0.5000 0.5000  -5.25
Sb 0.0000 0.2432 0.2531  0.04
Er 0.0000 0.0000 0.0000  0.05
Ce 0.5000 0.5000 0.0000  -0.65

---

| no. | total magnetic moment (μB per formula unit) |
| --- | --- |
| 1 | 19.61 |
| 2 | 13.09 |
| 3 | 3.77 |
| 4 | 5.91 |